one.
Computed, not measured: Cu7Ag3 after structural relaxation at the PBE level of DFT.

Unit cell a=4.636 b=4.636 c=7.114 alpha=108.65 beta=101.94 gamma=100.11
Space group P1 (No. 1)
Symmetry-distinct sites (fractional):
Cu 0.000 0.000 0.000 x1
Cu 0.070 0.175 0.674 x1
Cu 0.190 0.386 0.393 x1
Cu 0.289 0.588 0.107 x1
Cu 0.484 0.979 0.488 x1
Cu 0.780 0.598 0.585 x1
Cu 0.910 0.797 0.303 x1
Ag 0.365 0.779 0.784 x1
Ag 0.596 0.188 0.202 x1
Ag 0.703 0.399 0.891 x1

## Properties
- Density: 9.325 g cm⁻³

=====

two.
Computed, not measured: Cu7Ag3 after structural relaxation at the PBE level of DFT.

Unit cell a=18.474 b=2.740 c=5.484 alpha=90.00 beta=98.57 gamma=90.00
Space group Cm (No. 8)
Symmetry-distinct sites (fractional):
Cu 0.000 0.000 0.000 x2
Cu 0.000 0.000 0.470 x2
Cu 0.213 0.000 0.089 x2
Cu 0.217 0.000 0.595 x2
Cu 0.303 0.500 0.372 x2
Cu 0.304 0.500 0.901 x2
Cu 0.402 0.000 0.186 x2
Ag 0.105 0.500 0.787 x2
Ag 0.109 0.500 0.290 x2
Ag 0.402 0.000 0.686 x2

## Properties
- Density: 9.297 g cm⁻³

=====

three.
Computed, not measured: Cu7Ag3 after structural relaxation at the PBE level of DFT.

Unit cell a=21.691 b=2.749 c=4.619 alpha=90.00 beta=95.36 gamma=90.00
Space group C2/m (No. 12)
Symmetry-distinct sites (fractional):
Cu 0.000 0.000 0.000 x2
Cu 0.096 0.500 0.180 x4
Cu 0.101 0.000 0.718 x4
Cu 0.199 0.500 0.899 x4
Ag 0.000 0.500 0.500 x2
Ag 0.195 0.000 0.391 x4

## Properties
- Density: 9.307 g cm⁻³

=====

four.
Computed, not measured: Cu7Ag3 after structural relaxation at the PBE level of DFT.

Unit cell a=2.732 b=3.632 c=13.838 alpha=90.00 beta=90.00 gamma=90.00
Space group Pmm2 (No. 25)
Symmetry-distinct sites (fractional):
Cu 0.000 0.000 0.000 x1
Cu 0.000 0.000 0.180 x1
Cu 0.000 0.000 0.361 x1
Cu 0.000 0.000 0.788 x1
Cu 0.500 0.500 0.089 x1
Cu 0.500 0.500 0.270 x1
Cu 0.500 0.500 0.449 x1
Ag 0.000 0.000 0.557 x1
Ag 0.500 0.500 0.682 x1
Ag 0.500 0.500 0.893 x1

## Properties
- Density: 9.293 g cm⁻³

=====

Quick one: most stable of them? four

=====

one.
Computed, not measured: Cu4Ag after structural relaxation at the PBE level of DFT.

Unit cell a=11.033 b=2.704 c=8.852 alpha=90.00 beta=99.46 gamma=90.00
Space group C2/m (No. 12)
Symmetry-distinct sites (fractional):
Cu 0.050 0.000 0.137 x4
Cu 0.154 0.500 0.951 x4
Cu 0.160 0.000 0.441 x4
Cu 0.239 0.500 0.238 x4
Ag 0.054 0.500 0.655 x4

## Properties
- Density: 9.232 g cm⁻³

=====

two.
Computed, not measured: Cu4Ag after structural relaxation at the PBE level of DFT.

Unit cell a=4.563 b=13.246 c=4.581 alpha=90.00 beta=109.40 gamma=90.00
Space group C2/c (No. 15)
Symmetry-distinct sites (fractional):
Cu 0.000 0.054 0.250 x4
Cu 0.000 0.154 0.750 x4
Cu 0.000 0.244 0.250 x4
Cu 0.000 0.342 0.750 x4
Ag 0.000 0.445 0.250 x4

## Properties
- Density: 9.208 g cm⁻³

=====

Quick one: most stable of them? one

=====

one.
Computed, not measured: TmPbAuSe3 after structural relaxation at the PBE level of DFT.

Unit cell a=10.906 b=4.184 c=14.542 alpha=90.00 beta=90.00 gamma=90.00
Space group Pnma (No. 62)
Symmetry-distinct sites (fractional):
Tm 0.053 0.250 0.238 x4
Pb 0.239 0.250 0.950 x4
Au 0.210 0.250 0.614 x4
Se 0.013 0.750 0.368 x4
Se 0.065 0.750 0.105 x4
Se 0.206 0.750 0.809 x4

## Properties
- Total magnetic moment: 0.0 μB/cell
- Density: 8.108 g cm⁻³

=====

two.
Computed, not measured: TmPbAuSe3 after structural relaxation at the PBE level of DFT.

Unit cell a=10.070 b=4.190 c=15.488 alpha=90.00 beta=90.00 gamma=90.00
Space group Pnma (No. 62)
Symmetry-distinct sites (fractional):
Tm 0.172 0.250 0.023 x4
Pb 0.036 0.750 0.296 x4
Au 0.242 0.750 0.828 x4
Se 0.023 0.750 0.105 x4
Se 0.156 0.250 0.473 x4
Se 0.162 0.750 0.679 x4

## Properties
- Total magnetic moment: 0.0 μB/cell
- Density: 8.233 g cm⁻³

=====

three.
Computed, not measured: TmPbAuSe3 after structural relaxation at the PBE level of DFT.

Unit cell a=10.850 b=4.105 c=13.430 alpha=90.00 beta=90.00 gamma=90.00
Space group Pnma (No. 62)
Symmetry-distinct sites (fractional):
Tm 0.025 0.250 0.244 x4
Pb 0.228 0.750 0.506 x4
Au 0.239 0.250 0.701 x4
Se 0.025 0.250 0.614 x4
Se 0.064 0.750 0.098 x4
Se 0.228 0.750 0.836 x4

## Properties
- Total magnetic moment: 0.0 μB/cell
- Density: 8.995 g cm⁻³

=====

Quick one: most stable of them? two

=====

one.
Computed, not measured: Cu2Ag3 after structural relaxation at the PBE level of DFT.

Unit cell a=22.684 b=2.854 c=4.850 alpha=90.00 beta=95.35 gamma=90.00
Space group Cm (No. 8)
Symmetry-distinct sites (fractional):
Cu 0.000 0.000 0.000 x2
Cu 0.003 0.500 0.536 x2
Cu 0.092 0.000 0.714 x2
Cu 0.301 0.500 0.618 x2
Ag 0.093 0.500 0.217 x2
Ag 0.193 0.500 0.910 x2
Ag 0.200 0.000 0.422 x2
Ag 0.300 0.000 0.116 x2
Ag 0.402 0.000 0.814 x2
Ag 0.407 0.500 0.321 x2

## Properties
- Density: 9.577 g cm⁻³

=====

two.
Computed, not measured: Cu2Ag3 after structural relaxation at the PBE level of DFT.

Unit cell a=14.753 b=2.854 c=7.616 alpha=90.00 beta=104.80 gamma=90.00
Space group Cm (No. 8)
Symmetry-distinct sites (fractional):
Cu 0.000 0.000 0.000 x2
Cu 0.004 0.000 0.484 x2
Cu 0.200 0.000 0.093 x2
Cu 0.417 0.000 0.201 x2
Ag 0.102 0.500 0.282 x2
Ag 0.102 0.500 0.806 x2
Ag 0.205 0.000 0.595 x2
Ag 0.308 0.500 0.922 x2
Ag 0.309 0.500 0.370 x2
Ag 0.408 0.000 0.693 x2

## Properties
- Density: 9.655 g cm⁻³

=====

Quick one: most stable of them? two

=====

one.
Computed, not measured: Cu2Ag3 after structural relaxation at the PBE level of DFT.

Unit cell a=4.816 b=4.874 c=7.404 alpha=71.50 beta=71.45 gamma=80.33
Space group P1 (No. 1)
Symmetry-distinct sites (fractional):
Cu 0.000 0.000 0.000 x1
Cu 0.005 0.812 0.389 x1
Cu 0.495 0.717 0.094 x1
Cu 0.989 0.609 0.802 x1
Ag 0.486 0.518 0.493 x1
Ag 0.497 0.302 0.902 x1
Ag 0.497 0.894 0.707 x1
Ag 0.509 0.102 0.291 x1
Ag 0.996 0.428 0.187 x1
Ag 0.997 0.203 0.601 x1

## Properties
- Density: 9.606 g cm⁻³

=====

two.
Computed, not measured: Cu2Ag3 after structural relaxation at the PBE level of DFT.

Unit cell a=6.846 b=2.838 c=8.221 alpha=90.00 beta=103.91 gamma=90.00
Space group P2/m (No. 10)
Symmetry-distinct sites (fractional):
Cu 0.000 0.000 0.000 x1
Cu 0.217 0.000 0.597 x2
Cu 0.500 0.500 0.500 x1
Ag 0.090 0.500 0.315 x2
Ag 0.290 0.500 0.898 x2
Ag 0.400 0.000 0.212 x2

## Properties
- Density: 9.655 g cm⁻³

=====

three.
Computed, not measured: Cu2Ag3 after structural relaxation at the PBE level of DFT.

Unit cell a=9.505 b=2.879 c=11.505 alpha=90.00 beta=97.99 gamma=90.00
Space group Cm (No. 8)
Symmetry-distinct sites (fractional):
Cu 0.000 0.000 0.000 x2
Cu 0.033 0.500 0.477 x2
Cu 0.347 0.000 0.112 x2
Cu 0.442 0.500 0.292 x2
Ag 0.129 0.000 0.688 x2
Ag 0.133 0.500 0.177 x2
Ag 0.212 0.500 0.921 x2
Ag 0.235 0.000 0.382 x2
Ag 0.342 0.500 0.586 x2
Ag 0.420 0.000 0.804 x2

## Properties
- Density: 9.601 g cm⁻³

=====

Quick one: most stable of them? three

=====

one.
Computed, not measured: Cu2Ag3 after structural relaxation at the PBE level of DFT.

Unit cell a=2.8409 b=2.8409 c=66.8149 alpha=90.00 beta=90.00 gamma=120.00
Space group R3m (No. 160, hexagonal axes)
Symmetry-distinct sites (fractional):
Cu 0.0000 0.0000 0.0000 x3
Cu 0.0000 0.0000 0.0936 x3
Cu 0.0000 0.0000 0.4920 x3
Cu 0.0000 0.0000 0.6950 x3
Ag 0.0000 0.0000 0.1911 x3
Ag 0.0000 0.0000 0.3007 x3
Ag 0.0000 0.0000 0.3945 x3
Ag 0.0000 0.0000 0.5974 x3
Ag 0.0000 0.0000 0.7928 x3
Ag 0.0000 0.0000 0.8943 x3

## Properties
- Density: 9.615 g cm⁻³

=====

two.
Computed, not measured: Cu2Ag3 after structural relaxation at the PBE level of DFT.

Unit cell a=6.154 b=3.999 c=6.320 alpha=90.00 beta=91.64 gamma=90.00
Space group P2_1/m (No. 11)
Symmetry-distinct sites (fractional):
Cu 0.050 0.250 0.335 x2
Cu 0.137 0.750 0.039 x2
Ag 0.227 0.250 0.745 x2
Ag 0.329 0.750 0.442 x2
Ag 0.442 0.250 0.147 x2

## Properties
- Density: 9.629 g cm⁻³

=====

Quick one: most stable of them? two

=====

one.
Computed, not measured: Cu2Ag3 after structural relaxation at the PBE level of DFT.

Unit cell a=8.746 b=3.984 c=8.915 alpha=90.00 beta=91.16 gamma=90.00
Space group C2/m (No. 12)
Symmetry-distinct sites (fractional):
Cu 0.103 0.000 0.293 x4
Cu 0.199 0.500 0.099 x4
Ag 0.000 0.000 0.000 x2
Ag 0.000 0.500 0.500 x2
Ag 0.102 0.500 0.807 x4
Ag 0.202 0.000 0.607 x4

## Properties
- Density: 9.639 g cm⁻³

=====

two.
Computed, not measured: Cu2Ag3 after structural relaxation at the PBE level of DFT.

Unit cell a=4.014 b=3.972 c=19.522 alpha=90.00 beta=90.00 gamma=90.00
Space group Amm2 (No. 38)
Symmetry-distinct sites (fractional):
Cu 0.000 0.000 0.000 x2
Cu 0.000 0.000 0.186 x2
Cu 0.500 0.000 0.099 x2
Cu 0.500 0.000 0.686 x2
Ag 0.000 0.000 0.395 x2
Ag 0.000 0.000 0.597 x2
Ag 0.000 0.000 0.782 x2
Ag 0.500 0.000 0.282 x2
Ag 0.500 0.000 0.499 x2
Ag 0.500 0.000 0.894 x2

## Properties
- Density: 9.617 g cm⁻³

=====

Quick one: most stable of them? two

=====

one.
Computed, not measured: PuTcGe after structural relaxation at the PBE level of DFT.

Unit cell a=6.217 b=6.217 c=6.217 alpha=90.00 beta=90.00 gamma=90.00
Space group F-43m (No. 216)
Symmetry-distinct sites (fractional):
Pu 0.000 0.000 0.000 x4
Tc 0.000 0.000 0.500 x4
Ge 0.250 0.250 0.250 x4

## Properties
- Total magnetic moment: 20.8 μB/cell
- Density: 11.460 g cm⁻³

=====

two.
Computed, not measured: PuTcGe after structural relaxation at the PBE level of DFT.

Unit cell a=4.362 b=4.362 c=6.460 alpha=90.00 beta=90.00 gamma=90.00
Space group P4/nmm (No. 129, origin choice 2)
Symmetry-distinct sites (fractional):
Pu 0.250 0.250 0.201 x2
Tc 0.250 0.750 0.500 x2
Ge 0.250 0.250 0.715 x2

## Properties
- Total magnetic moment: 10.0 μB/cell
- Density: 11.203 g cm⁻³

=====

Quick one: most stable of them? two